DFT (PBE-GGA) results for a geometry-optimized SrMgCd2Au2 structure.

For the size of the total moment, the calculation gives 0.00 μB per cell. The calculated formation energy is -467 meV/atom.

a = 4.8091 Å, b = 4.8091 Å, c = 7.2657 Å
α = 90.00°, β = 90.00°, γ = 120.00°
Positions (direct):
Sr 0.0000 0.0000 0.0000
Mg 0.0000 0.0000 0.5000
Cd 0.6667 0.3333 0.6970
Cd 0.3333 0.6667 0.3030
Au 0.6667 0.3333 0.2869
Au 0.3333 0.6667 0.7131

***

DFT (PBE-GGA) results for a geometry-optimized Tb2MgCdAu4 structure.

For the size of the total moment, the calculation gives 0.00 μB per cell. The calculated formation energy is -732 meV/atom.

a = 4.9541 Å, b = 4.9541 Å, c = 8.4835 Å
α = 73.02°, β = 73.02°, γ = 60.00°
Positions (direct):
Tb 0.7470 0.7470 0.7589
Tb 0.2530 0.2530 0.2411
Mg 0.5000 0.5000 0.5000
Cd 0.0000 0.0000 0.0000
Au 0.3805 0.3805 0.8584
Au 0.8717 0.8717 0.3848
Au 0.1283 0.1283 0.6152
Au 0.6195 0.6195 0.1416

***

DFT (PBE-GGA) results for a geometry-optimized TbMg2CdAu4 structure.

For the size of the total moment, the calculation gives 0.00 μB per cell. The calculated formation energy is -569 meV/atom.

a = 4.7318 Å, b = 4.7318 Å, c = 8.8071 Å
α = 74.42°, β = 74.42°, γ = 60.00°
Positions (direct):
Tb 0.0000 0.0000 0.0000
Mg 0.7571 0.7571 0.7287
Mg 0.2429 0.2429 0.2713
Cd 0.5000 0.5000 0.5000
Au 0.3855 0.3855 0.8434
Au 0.8790 0.8790 0.3631
Au 0.1210 0.1210 0.6369
Au 0.6145 0.6145 0.1566

***

DFT (PBE-GGA) results for a geometry-optimized ThMgCd2Au4 structure.

For the size of the total moment, the calculation gives 0.00 μB per cell. The calculated formation energy is -472 meV/atom.

a = 4.8040 Å, b = 4.8040 Å, c = 8.8968 Å
α = 74.34°, β = 74.34°, γ = 60.00°
Positions (direct):
Th 0.0000 0.0000 0.0000
Mg 0.5000 0.5000 0.5000
Cd 0.7557 0.7557 0.7330
Cd 0.2443 0.2443 0.2670
Au 0.3881 0.3881 0.8358
Au 0.8722 0.8722 0.3833
Au 0.1278 0.1278 0.6167
Au 0.6119 0.6119 0.1642

***

DFT (PBE-GGA) results for a geometry-optimized ThMgCdAu structure.

For the size of the total moment, the calculation gives 0.00 μB per cell. The calculated formation energy is -393 meV/atom.

a = 5.1227 Å, b = 5.1227 Å, c = 5.1227 Å
α = 60.00°, β = 60.00°, γ = 60.00°
Positions (direct):
Mg 0.0000 0.0000 0.0000
Au 0.2500 0.2500 0.2500
Th 0.5000 0.5000 0.5000
Cd 0.7500 0.7500 0.7500

***

DFT (PBE-GGA) results for a geometry-optimized MgTlCd2Au structure.

For the size of the total moment, the calculation gives 0.00 μB per cell. The calculated formation energy is -30 meV/atom.

a = 5.3128 Å, b = 5.3128 Å, c = 5.1421 Å
α = 90.00°, β = 90.00°, γ = 90.00°
Positions (direct):
Tl 0.5000 0.5000 0.5000
Au 0.0000 0.0000 0.0000
Mg 0.0000 0.0000 0.5000
Cd 0.0000 0.5000 0.0000
Cd 0.5000 0.0000 0.0000

***

DFT (PBE-GGA) results for a geometry-optimized TmMg2CdAu4 structure.

For the size of the total moment, the calculation gives 0.00 μB per cell. The calculated formation energy is -580 meV/atom.

a = 4.7785 Å, b = 4.7785 Å, c = 8.4619 Å
α = 73.60°, β = 73.60°, γ = 60.00°
Positions (direct):
Tm 0.0000 0.0000 0.0000
Mg 0.7545 0.7545 0.7364
Mg 0.2455 0.2455 0.2636
Cd 0.5000 0.5000 0.5000
Au 0.3774 0.3774 0.8678
Au 0.8780 0.8780 0.3660
Au 0.1220 0.1220 0.6340
Au 0.6226 0.6226 0.1322

***

DFT (PBE-GGA) results for a geometry-optimized Tm2MgCdAu4 structure.

For the size of the total moment, the calculation gives 0.00 μB per cell. The calculated formation energy is -737 meV/atom.

a = 4.8897 Å, b = 4.8897 Å, c = 8.4165 Å
α = 73.11°, β = 73.11°, γ = 60.00°
Positions (direct):
Tm 0.7473 0.7473 0.7580
Tm 0.2527 0.2527 0.2420
Mg 0.5000 0.5000 0.5000
Cd 0.0000 0.0000 0.0000
Au 0.3797 0.3797 0.8609
Au 0.8713 0.8713 0.3860
Au 0.1287 0.1287 0.6140
Au 0.6203 0.6203 0.1391

***

DFT (PBE-GGA) results for a geometry-optimized Y2MgCdAu4 structure.

For the size of the total moment, the calculation gives 0.00 μB per cell. The calculated formation energy is -733 meV/atom.

a = 4.9459 Å, b = 4.9459 Å, c = 8.4787 Å
α = 73.04°, β = 73.04°, γ = 60.00°
Positions (direct):
Y 0.7471 0.7471 0.7586
Y 0.2529 0.2529 0.2414
Mg 0.5000 0.5000 0.5000
Cd 0.0000 0.0000 0.0000
Au 0.3803 0.3803 0.8591
Au 0.8718 0.8718 0.3846
Au 0.1282 0.1282 0.6154
Au 0.6197 0.6197 0.1409

***

DFT (PBE-GGA) results for a geometry-optimized YMgCd2Au4 structure.

For the size of the total moment, the calculation gives 0.00 μB per cell. The calculated formation energy is -527 meV/atom.

a = 4.8295 Å, b = 4.8295 Å, c = 8.4562 Å
α = 73.41°, β = 73.41°, γ = 60.00°
Positions (direct):
Y 0.0000 0.0000 0.0000
Mg 0.5000 0.5000 0.5000
Cd 0.7499 0.7499 0.7502
Cd 0.2501 0.2501 0.2498
Au 0.3830 0.3830 0.8510
Au 0.8720 0.8720 0.3841
Au 0.1280 0.1280 0.6159
Au 0.6170 0.6170 0.1490